1.
5
Lattice="4.985 0.000 0.000 0.000 4.985 0.000 0.000 0.000 5.021" Properties=species:S:1:pos:R:3 comment="GGA-PBE HfSeS2Cl, optimized geometry" formation_energy_uncorrected_ev_per_atom=-0.43 n_ef_per_ev_fu=3.68 spacegroup=P4/mmm de_polymorph_mev_per_atom=0 pbc="T T T"
Hf 0.000 0.000 0.000
Se 2.492 2.492 2.511
S 0.000 2.492 0.000
S 2.492 0.000 0.000
Cl 0.000 0.000 2.511



2.
8
Lattice="-3.208 3.208 3.962 3.208 -3.208 3.962 3.208 3.208 -3.962" Properties=species:S:1:pos:R:3 comment="GGA-PBE FePt2Br, optimized geometry" formation_energy_uncorrected_ev_per_atom=0.86 n_ef_per_ev_fu=6.00 spacegroup=I-42d de_polymorph_mev_per_atom=688 pbc="T T T"
Fe 0.000 0.000 0.000
Fe 0.000 3.208 1.981
Pt 4.812 1.341 -0.991
Pt 1.341 1.604 0.991
Pt -1.604 1.867 2.972
Pt 1.867 1.604 4.953
Br 3.208 0.000 1.981
Br 0.000 0.000 3.962



3.
10
Lattice="8.517 0.000 0.000 0.000 8.517 0.000 0.000 0.000 5.850" Properties=species:S:1:pos:R:3 comment="GGA-PBE Cs2CaAg2, optimized geometry" n_ef_per_ev_fu=0.91 spacegroup=P4/mbm de_polymorph_mev_per_atom=0 formation_energy_kj_per_mol_atoms=8 pbc="T T T"
Cs 1.432 2.827 0.000
Cs 2.827 7.085 0.000
Cs 5.690 1.432 0.000
Cs 7.085 5.690 0.000
Ca 0.000 0.000 2.925
Ca 4.259 4.259 2.925
Ag 1.053 5.312 2.925
Ag 3.205 1.053 2.925
Ag 5.312 7.464 2.925
Ag 7.464 3.205 2.925



4.
6
Lattice="4.651 0.000 0.000 -2.077 5.001 0.000 -0.130 -1.921 7.726" Properties=species:S:1:pos:R:3 comment="GGA-PBE CdInSb, optimized geometry" formation_energy_uncorrected_ev_per_atom=0.04 n_ef_per_ev_fu=1.03 spacegroup=P-1 pbc="T T T"
Cd 0.052 0.155 2.813
Cd 2.392 2.924 4.913
In 0.131 3.747 1.009
In 2.313 -0.668 6.717
Sb 0.027 1.116 5.716
Sb 2.417 1.963 2.010



What is the formula in the third record? Cs2CaAg2